## La5B2N6 (PBEsol)

Data for a relaxed structure of La5B2N6.

ΔE_f (raw) = -1.4710 eV/atom
N(E_F) = 1.69 states/eV/f.u.

```
La5B2N6
1.0
3.6557 0.0000 0.0000
-1.8279 6.2233 0.0013
0.0000 -2.4138 8.6431
La N B
5 6 2
Direct
0.3079 0.6159 0.1820
0.6245 0.2491 0.3739
0.6921 0.3841 0.8180
0.0000 0.0000 0.0000
0.3755 0.7509 0.6261
0.3434 0.6868 0.9217
0.0257 0.0514 0.7377
0.9743 0.9486 0.2623
0.8279 0.6558 0.4168
0.1721 0.3442 0.5832
0.6566 0.3132 0.0783
0.9452 0.8904 0.4109
0.0548 0.1096 0.5891
```

## La5B4N9 (PBEsol)

Data for a relaxed structure of La5B4N9.

ΔE_f (raw) = -1.5105 eV/atom

```
La5B4N9
1.0
7.6290 0.0000 0.0000
0.0000 9.7126 0.0000
0.0000 0.0000 12.5114
La B N
20 16 36
Direct
0.9976 0.3460 0.0850
0.7500 0.9965 0.5059
0.5000 0.9889 0.7500
0.2500 0.0035 0.4941
0.2500 0.6417 0.1780
0.2500 0.3583 0.6780
0.0024 0.3460 0.4150
0.5024 0.3460 0.0850
0.7500 0.6417 0.3220
0.5024 0.6540 0.5850
0.0000 0.9889 0.7500
0.5000 0.0111 0.2500
0.4976 0.6540 0.9150
0.2500 0.9965 0.9941
0.0000 0.0111 0.2500
0.7500 0.0035 0.0059
0.0024 0.6540 0.9150
0.7500 0.3583 0.8220
0.9976 0.6540 0.5850
0.4976 0.3460 0.4150
0.2500 0.5645 0.4131
0.5928 0.2262 0.6300
0.2500 0.4355 0.9131
0.7500 0.5645 0.0869
0.4072 0.2262 0.8700
0.2500 0.7547 0.7419
0.9072 0.7738 0.1300
0.7500 0.2453 0.2581
0.7500 0.7547 0.7581
0.5928 0.7738 0.1300
0.0928 0.7738 0.3700
0.0928 0.2262 0.8700
0.2500 0.2453 0.2419
0.9072 0.2262 0.6300
0.7500 0.4355 0.5869
0.4072 0.7738 0.3700
0.4188 0.6228 0.3783
0.5407 0.8586 0.4140
0.2500 0.1782 0.3479
0.2500 0.6057 0.7275
0.4188 0.3772 0.8783
0.4593 0.1414 0.5860
0.9188 0.6228 0.1217
0.2500 0.8415 0.3223
0.2500 0.3943 0.2275
0.0812 0.6228 0.3783
0.2500 0.4663 0.4992
0.5407 0.1414 0.9140
0.2500 0.5337 0.9992
0.2500 0.8448 0.6459
0.4593 0.8586 0.0860
0.9593 0.1414 0.9140
0.2500 0.1552 0.1459
0.7500 0.5337 0.5008
0.0407 0.1414 0.5860
0.7500 0.8415 0.1777
0.5812 0.6228 0.1217
0.0407 0.8586 0.0860
0.7500 0.1552 0.3541
0.9593 0.8586 0.4140
0.7500 0.8448 0.8541
0.7500 0.1782 0.1521
0.9188 0.3772 0.6217
0.7500 0.3943 0.2725
0.7500 0.8218 0.6521
0.7500 0.6057 0.7725
0.5812 0.3772 0.6217
0.7500 0.4663 0.0008
0.0812 0.3772 0.8783
0.2500 0.1585 0.8223
0.7500 0.1585 0.6777
0.2500 0.8218 0.8479
```

## La3Ni2B2N3 (PBEsol)

Data for a relaxed structure of La3Ni2B2N3.

ΔE_f (raw) = -1.1375 eV/atom
N(E_F) = 4.07 states/eV/f.u.

```
La3Ni2B2N3
1.0
3.7166 0.0000 0.0000
0.0000 3.7166 0.0000
-1.8583 -1.8583 9.8835
La B N Ni
3 2 3 2
Direct
0.0000 0.0000 0.0000
0.6300 0.6300 0.2600
0.3700 0.3700 0.7400
0.7998 0.7998 0.5996
0.2002 0.2002 0.4004
0.1270 0.1270 0.2540
0.5000 0.5000 0.0000
0.8730 0.8730 0.7460
0.7500 0.2500 0.5000
0.2500 0.7500 0.5000
```

## Na3La2B3O9 (PBEsol)

Data for a relaxed structure of Na3La2B3O9.

ΔE_f (raw) = -2.6682 eV/atom
N(E_F) = 0.00 states/eV/f.u.

```
Na3La2B3O9
1.0
5.1267 0.0000 0.0000
0.0000 6.7073 -0.0256
0.0000 -2.7814 6.1035
La O B Na
2 9 3 3
Direct
0.0000 0.6173 0.0423
0.0000 0.0423 0.6173
0.0000 0.0447 0.2559
0.7350 0.3830 0.7026
0.7350 0.7026 0.3830
0.2650 0.3830 0.7026
0.5000 0.0988 0.7540
0.5000 0.7540 0.0988
0.2650 0.7026 0.3830
0.0000 0.2559 0.0447
0.0000 0.8637 0.8637
0.5000 0.2918 0.7248
0.0000 0.0566 0.0566
0.5000 0.7248 0.2918
0.5000 0.7088 0.7088
0.0000 0.4582 0.4582
0.5000 0.1265 0.1265
```

## Na3La9B8O27 (PBEsol)

Data for a relaxed structure of Na3La9B8O27.

ΔE_f (raw) = -3.0068 eV/atom
N(E_F) = 0.00 states/eV/f.u.

```
Na3La9B8O27
1.0
-6.6641 0.1531 -5.4211
0.2609 -8.8394 -0.5704
-4.9692 3.8940 6.2187
La B O Na
9 8 27 3
Direct
0.2339 0.3486 0.0000
0.7661 0.0000 0.3486
0.5000 0.0000 0.7177
0.7661 0.3486 0.0000
0.7661 0.6514 0.6514
0.5000 0.7177 0.0000
0.2339 0.6514 0.6514
0.2339 0.0000 0.3486
0.5000 0.2823 0.2823
0.6775 0.3333 0.6667
0.3225 0.6667 0.3333
0.7887 0.0000 0.0000
0.0000 0.3333 0.6667
0.3225 0.3333 0.6667
0.2113 0.0000 0.0000
0.0000 0.6667 0.3333
0.6775 0.6667 0.3333
0.0000 0.1819 0.5037
0.6834 0.3338 0.5119
0.3166 0.8219 0.4881
0.6834 0.1781 0.6662
0.6834 0.8219 0.4881
0.5000 0.7416 0.7416
0.5000 0.2584 0.0000
0.6834 0.4881 0.8219
0.0000 0.5037 0.1819
0.3166 0.1781 0.6662
0.0000 0.6781 0.4963
0.7864 0.0000 0.8435
0.7864 0.1565 0.1565
0.2136 0.8435 0.0000
0.3166 0.3338 0.5119
0.2136 0.1565 0.1565
0.3166 0.5119 0.3338
0.6834 0.6662 0.1781
0.0000 0.8181 0.3219
0.3166 0.4881 0.8219
0.2136 0.0000 0.8435
0.5000 0.0000 0.2584
0.0000 0.3219 0.8181
0.7864 0.8435 0.0000
0.0000 0.4963 0.6781
0.3166 0.6662 0.1781
0.6834 0.5119 0.3338
0.0000 0.6665 0.0000
0.0000 0.3335 0.3335
0.0000 0.0000 0.6665
```

## Na3LaB2O6 (PBEsol)

Data for a relaxed structure of Na3LaB2O6.

ΔE_f (raw) = -2.4750 eV/atom
N(E_F) = 0.00 states/eV/f.u.

```
Na3LaB2O6
1.0
6.6732 0.0000 0.0422
0.0000 8.8033 0.0000
-0.1331 0.0000 10.2570
O B La Na
24 8 4 12
Direct
0.2070 0.6488 0.0132
0.2589 0.6337 0.2446
0.7070 0.8512 0.5132
0.7930 0.3512 0.9868
0.3144 0.4129 0.1146
0.1736 0.2137 0.7971
0.2411 0.1337 0.2554
0.7411 0.3663 0.7554
0.6736 0.2863 0.2971
0.6639 0.5240 0.4091
0.3361 0.4760 0.5909
0.8144 0.0871 0.6146
0.3264 0.7137 0.7029
0.4810 0.1021 0.8728
0.0190 0.6021 0.6272
0.5190 0.8979 0.1272
0.6856 0.5871 0.8854
0.1856 0.9129 0.3854
0.8361 0.0240 0.0909
0.7589 0.8663 0.7446
0.8264 0.7863 0.2029
0.9810 0.3979 0.3728
0.1639 0.9760 0.9091
0.2930 0.1488 0.4868
0.2237 0.5981 0.6392
0.7571 0.9363 0.6216
0.2763 0.0981 0.8608
0.7237 0.9019 0.1392
0.7429 0.4363 0.8784
0.2429 0.0637 0.3784
0.2571 0.5637 0.1216
0.7763 0.4019 0.3608
0.3381 0.3845 0.3568
0.8381 0.1155 0.8568
0.1619 0.8845 0.1432
0.6619 0.6155 0.6432
0.1943 0.9339 0.6103
0.8057 0.0661 0.3897
0.6943 0.5661 0.1103
0.4816 0.2308 0.6565
0.0246 0.3129 0.6059
0.9816 0.2692 0.1565
0.5246 0.1871 0.1059
0.0184 0.7308 0.8435
0.3057 0.4339 0.8897
0.9754 0.6871 0.3941
0.5184 0.7692 0.3435
0.4754 0.8129 0.8941
```

## LaNi12B6 (PBEsol)

Data for a relaxed structure of LaNi12B6.

Energy of formation = -0.4510 eV per atom
N(E_F) = 8.34 states/eV/f.u.

```
LaNi12B6
1.0
5.9901 0.0023 0.0000
-1.5215 5.7937 0.0000
0.0000 0.0000 10.9546
La Ni B
2 24 12
Direct
0.6679 0.6679 0.9999
0.3321 0.3321 0.4999
0.1295 0.4938 0.9377
0.9737 0.7088 0.7753
0.9316 0.9316 0.4171
0.1564 0.7746 0.5677
0.2912 0.0263 0.2753
0.2254 0.8436 0.0677
0.6218 0.3548 0.2551
0.2780 0.2780 0.0996
0.6961 0.9606 0.2360
0.8436 0.2254 0.0677
0.0684 0.0684 0.9171
0.8705 0.5062 0.4377
0.5062 0.8705 0.4377
0.7220 0.7220 0.5996
0.3039 0.0394 0.7360
0.0394 0.3039 0.7360
0.7088 0.9737 0.7753
0.6452 0.3782 0.7551
0.4938 0.1295 0.9377
0.7746 0.1564 0.5677
0.0263 0.2912 0.2753
0.3782 0.6452 0.7551
0.9606 0.6961 0.2360
0.3548 0.6218 0.2551
0.6646 0.6646 0.3345
0.8994 0.4865 0.6224
0.2530 0.8238 0.8859
0.4865 0.8994 0.6224
0.0146 0.0146 0.1609
0.9854 0.9854 0.6609
0.1006 0.5135 0.1224
0.3354 0.3354 0.8345
0.7470 0.1762 0.3859
0.5135 0.1006 0.1224
0.1762 0.7470 0.3859
0.8238 0.2530 0.8859
```

## LaNi4B (PBEsol)

Data for a relaxed structure of LaNi4B.

Energy of formation = -0.4360 eV per atom
N(E_F) = 2.50 states/eV/f.u.

```
LaNi4B
1.0
-4.0553 2.0693 -2.1115
-0.5291 -3.6529 3.4004
-0.2147 4.7276 5.0453
B Ni La
2 8 2
Direct
0.3333 0.6667 0.5000
0.6667 0.3333 0.5000
0.0000 0.5000 0.2928
0.6667 0.3333 0.0000
0.3333 0.6667 0.0000
0.5000 0.5000 0.7072
0.5000 0.5000 0.2928
0.5000 0.0000 0.2928
0.5000 0.0000 0.7072
0.0000 0.5000 0.7072
0.0000 0.0000 0.5000
0.0000 0.0000 0.0000
```

## LaNiB2 (PBEsol)

Data for a relaxed structure of LaNiB2.

Energy of formation = 0.5958 eV per atom
N(E_F) = 2.10 states/eV/f.u.

```
LaNiB2
1.0
4.2453 0.0000 0.0000
2.1227 3.6766 0.0000
2.1227 1.2255 3.4663
La B Ni
1 2 1
Direct
0.5000 0.5000 0.5000
0.7500 0.7500 0.7500
0.2500 0.2500 0.2500
0.0000 0.0000 0.0000
```

## La2Ni5B4 (PBEsol)

Data for a relaxed structure of La2Ni5B4.

Energy of formation = -0.5059 eV per atom
N(E_F) = 4.65 states/eV/f.u.

```
La2Ni5B4
1.0
5.0745 0.0000 0.0000
2.5373 4.8589 0.0050
2.5373 0.9862 5.5019
La B Ni
2 4 5
Direct
0.7243 0.1966 0.3548
0.2757 0.8034 0.6452
0.5978 0.9422 0.8623
0.4022 0.0578 0.1377
0.2214 0.3984 0.1588
0.7786 0.6016 0.8412
0.1747 0.2783 0.8750
0.8253 0.7217 0.1250
0.6720 0.2783 0.8750
0.3280 0.7217 0.1250
0.0000 0.5000 0.5000
```

## La2B4O9 (PBEsol)

Data for a relaxed structure of La2B4O9.

ΔE_f (raw) = -2.9314 eV/atom
N(E_F) = 0.00 states/eV/f.u.

```
La2B4O9
1.0
6.3250 -0.0158 -0.0048
-1.4496 6.5172 -0.0144
-0.8861 -1.7909 7.4121
O B La
18 8 4
Direct
0.4530 0.4663 0.2496
0.5696 0.8120 0.4351
0.2229 0.5938 0.4703
0.7698 0.5628 0.0359
0.4930 0.2234 0.9857
0.8546 0.2774 0.1323
0.4304 0.1880 0.5649
0.2302 0.4372 0.9641
0.9375 0.0560 0.3180
0.8171 0.8541 0.8851
0.7589 0.2675 0.7943
0.1454 0.7226 0.8677
0.1829 0.1459 0.1149
0.2411 0.7325 0.2057
0.5470 0.5337 0.7504
0.0625 0.9440 0.6820
0.7771 0.4062 0.5297
0.5070 0.7766 0.0143
0.9927 0.1541 0.1827
0.6292 0.3570 0.6574
0.0073 0.8459 0.8173
0.3372 0.3282 0.0752
0.7253 0.3350 0.9808
0.6628 0.6718 0.9248
0.2747 0.6650 0.0192
0.3708 0.6430 0.3426
0.5430 0.0937 0.2819
0.1150 0.3211 0.6419
0.4570 0.9063 0.7181
0.8850 0.6789 0.3581
```

## La5B3O13 (PBEsol)

Data for a relaxed structure of La5B3O13.

ΔE_f (raw) = -3.0003 eV/atom
N(E_F) = 15.01 states/eV/f.u.

```
La5B3O13
1.0
-1.6222 -6.0283 -3.3910
8.7593 -2.7967 0.7814
-6.1100 -2.0680 6.5992
O B La
26 6 10
Direct
0.0800 0.2606 0.3481
0.7500 0.5887 0.1254
0.2500 0.1254 0.5368
0.4200 0.6519 0.9125
0.5800 0.7395 0.6519
0.0800 0.6519 0.9125
0.7500 0.3358 0.8524
0.2500 0.4834 0.3358
0.9200 0.3481 0.0875
0.2500 0.4632 0.5887
0.5800 0.3481 0.0875
0.4200 0.0875 0.7395
0.7500 0.0000 0.0000
0.2500 0.8524 0.5166
0.2500 0.0000 0.0000
0.7500 0.5166 0.6642
0.0800 0.0875 0.7395
0.7500 0.8746 0.4632
0.5800 0.9125 0.2606
0.9200 0.7395 0.6519
0.7500 0.1476 0.4834
0.4200 0.2606 0.3481
0.9200 0.9125 0.2606
0.2500 0.4113 0.8746
0.2500 0.6642 0.1476
0.7500 0.5368 0.4113
0.2500 0.5962 0.9652
0.7500 0.4038 0.0348
0.2500 0.0348 0.6309
0.2500 0.3691 0.4038
0.7500 0.6309 0.5962
0.7500 0.9652 0.3691
0.0025 0.3333 0.6667
0.7500 0.2351 0.2562
0.2500 0.7649 0.7438
0.2500 0.9789 0.2351
0.4975 0.3333 0.6667
0.7500 0.7438 0.9789
0.9975 0.6667 0.3333
0.7500 0.0211 0.7649
0.5025 0.6667 0.3333
0.2500 0.2562 0.0211
```

What did the eleventh record say?
## La2B4O9 (PBEsol)

Data for a relaxed structure of La2B4O9.

ΔE_f (raw) = -2.9314 eV/atom
N(E_F) = 0.00 states/eV/f.u.

```
La2B4O9
1.0
6.3250 -0.0158 -0.0048
-1.4496 6.5172 -0.0144
-0.8861 -1.7909 7.4121
O B La
18 8 4
Direct
0.4530 0.4663 0.2496
0.5696 0.8120 0.4351
0.2229 0.5938 0.4703
0.7698 0.5628 0.0359
0.4930 0.2234 0.9857
0.8546 0.2774 0.1323
0.4304 0.1880 0.5649
0.2302 0.4372 0.9641
0.9375 0.0560 0.3180
0.8171 0.8541 0.8851
0.7589 0.2675 0.7943
0.1454 0.7226 0.8677
0.1829 0.1459 0.1149
0.2411 0.7325 0.2057
0.5470 0.5337 0.7504
0.0625 0.9440 0.6820
0.7771 0.4062 0.5297
0.5070 0.7766 0.0143
0.9927 0.1541 0.1827
0.6292 0.3570 0.6574
0.0073 0.8459 0.8173
0.3372 0.3282 0.0752
0.7253 0.3350 0.9808
0.6628 0.6718 0.9248
0.2747 0.6650 0.0192
0.3708 0.6430 0.3426
0.5430 0.0937 0.2819
0.1150 0.3211 0.6419
0.4570 0.9063 0.7181
0.8850 0.6789 0.3581
```